*A*
TlB3Br: relaxed, PBE.

Its total magnetic moment is 0.00 μB per cell.

The structure belongs to space group Pm-3m (No. 221); the cell edges are 4.7262, 4.7262 and 4.7262 Å and the angles 90.00°, 90.00° and 90.00°. The asymmetric unit holds Tl at (0.0000, 0.0000, 0.0000), B at (0.0000, 0.0000, 0.5000) and Br at (0.5000, 0.5000, 0.5000).

*B*
TlB3Br: relaxed, PBE.

Its total magnetic moment is 0.00 μB per cell.

The structure belongs to space group Pm-3m (No. 221); the cell edges are 4.3183, 4.3183 and 4.3183 Å and the angles 90.00°, 90.00° and 90.00°. The asymmetric unit holds Tl at (0.0000, 0.0000, 0.0000), B at (0.0000, 0.5000, 0.5000) and Br at (0.5000, 0.5000, 0.5000).

Out of the structures above, which one is the most stable? Solution: *A*.